No. 1
## CaPNCl2 (GGA-PBE)

Data for an optimized crystal structure of CaPNCl2.

Cell lengths 5.644, 5.644, 3.384 Å; angles 90.00, 90.00, 90.00 degrees
Element x y z (fractional)
1 P 0.000 0.000 0.500
2 Ca 0.500 0.500 0.500
3 N 0.000 0.000 0.000
4 Cl 0.000 0.500 0.000
5 Cl 0.500 0.000 0.000

Offset from the most stable computed form: 0.0 meV/atom
Total magnetic moment: 0.0014 μB/atom
Space group: No. 123


No. 2
## CaPd2NCl (GGA-PBE)

Data for an optimized crystal structure of CaPd2NCl.

Cell lengths 4.463, 5.470, 4.463 Å; angles 90.00, 90.00, 90.00 degrees
Last column: magnetic moment on the atom in μB.
Element x y z (fractional)
1 Ca 0.000 0.500 0.000  -0.02
2 N 0.500 0.500 0.500  1.10
3 Pd 0.000 0.000 0.500  0.12
4 Pd 0.500 0.000 0.000  0.17
5 Cl 0.000 0.000 0.000  0.02

Total magnetic moment: 0.3674 μB/atom
Space group: No. 123


No. 3
## Ca2PmN2Cl2 (GGA-PBE)

Data for an optimized crystal structure of Ca2PmN2Cl2.

Cell lengths 4.534, 4.534, 7.858 Å; angles 106.77, 106.77, 90.00 degrees
Last column: magnetic moment on the atom in μB.
Element x y z (fractional)
1 Ca 0.393 0.393 0.785  0.00
2 Ca 0.607 0.607 0.215  0.00
3 Pm 0.000 0.000 0.000  0.05
4 N 0.000 0.500 0.000  0.12
5 N 0.500 0.000 0.000  0.12
6 Cl 0.196 0.196 0.392  0.00
7 Cl 0.804 0.804 0.608  0.00

Total magnetic moment: 0.0503 μB/atom
Space group: No. 139


No. 4
## CaPrNCl (GGA-PBE)

Data for an optimized crystal structure of CaPrNCl.

Cell lengths 3.684, 3.684, 7.285 Å; angles 90.00, 104.65, 120.00 degrees
Last column: magnetic moment on the atom in μB.
Element x y z (fractional)
1 Ca 0.096 0.946 0.058  0.05
2 Pr 0.510 0.153 0.678  0.31
3 N 0.311 0.553 0.880  -0.02
4 Cl 0.960 0.378 0.354  0.00

Total magnetic moment: 0.1974 μB/atom
Space group: No. 160


No. 5
## Ca2PuN2Cl2 (GGA-PBE)

Data for an optimized crystal structure of Ca2PuN2Cl2.

Cell lengths 4.365, 4.365, 7.906 Å; angles 106.02, 106.02, 90.00 degrees
Last column: magnetic moment on the atom in μB.
Element x y z (fractional)
1 Ca 0.392 0.392 0.783  0.03
2 Ca 0.608 0.608 0.217  0.03
3 Pu 0.000 0.000 0.000  4.16
4 N 0.000 0.500 0.000  -0.17
5 N 0.500 0.000 0.000  -0.17
6 Cl 0.192 0.192 0.384  0.00
7 Cl 0.808 0.808 0.616  0.00

Total magnetic moment: 0.5714 μB/atom
Space group: No. 139


No. 6
## RbCa2NCl (GGA-PBE)

Data for an optimized crystal structure of RbCa2NCl.

Cell lengths 4.673, 4.673, 11.204 Å; angles 90.00, 90.00, 90.00 degrees
Element x y z (fractional)
1 Ca 0.000 0.500 0.000
2 Ca 0.500 0.000 0.000
3 N 0.000 0.000 0.000
4 Rb 0.500 0.500 0.500
5 Cl 0.000 0.000 0.500

Offset from the most stable computed form: 0.0 meV/atom
Total magnetic moment: 0.0443 μB/atom
Space group: No. 123


No. 7
## Rb2CaNCl6 (GGA-PBE)

Data for an optimized crystal structure of Rb2CaNCl6.

Cell lengths 7.785, 7.785, 7.140 Å; angles 56.96, 56.96, 90.00 degrees
Last column: magnetic moment on the atom in μB.
Element x y z (fractional)
1 Ca 0.000 0.000 0.000  0.01
2 N 0.500 0.500 0.000  0.78
3 Rb 0.750 0.250 0.500  0.00
4 Rb 0.250 0.750 0.500  0.00
5 Cl 0.282 0.282 0.437  0.01
6 Cl 0.718 0.718 0.563  0.01
7 Cl 0.246 0.246 0.000  -0.01
8 Cl 0.754 0.754 0.000  -0.01
9 Cl 0.754 0.246 0.000  -0.03
10 Cl 0.246 0.754 0.000  -0.03

Total magnetic moment: 0.1000 μB/atom
Space group: No. 139


No. 8
## RbCa2NCl (GGA-PBE)

Data for an optimized crystal structure of RbCa2NCl.

Cell lengths 6.288, 4.445, 6.288 Å; angles 90.00, 90.00, 90.00 degrees
Element x y z (fractional)
1 Ca 0.000 0.000 0.500
2 Ca 0.500 0.000 0.000
3 N 0.000 0.500 0.000
4 Rb 0.000 0.000 0.000
5 Cl 0.500 0.500 0.500

Offset from the most stable computed form: 1565.2 meV/atom
Total magnetic moment: 0.0000 μB/atom
Space group: No. 123


| no. | raw formation energy (eV/atom) |
| --- | --- |
| 1 | -0.20 |
| 2 | 0.63 |
| 3 | -1.35 |
| 4 | -1.47 |
| 5 | -1.55 |
| 6 | -0.72 |
| 7 | -0.93 |
| 8 | 0.84 |